La2TmRh9 | PBE-GGA | optimized geometry

Values from the calculation:
ΔH_f (0 K): -517 meV/atom

```
La2TmRh9
1.0
2.642 1.525 8.982
-2.642 1.525 8.982
0.000 -3.051 8.982
La Tm Rh
2 1 9
Cartesian
0.000 0.000 3.727
0.000 0.000 23.219
0.000 0.000 0.000
-1.318 -0.761 11.141
0.000 0.000 8.965
0.000 -1.522 15.805
-1.318 0.761 15.805
0.000 0.000 13.473
1.318 -0.761 11.141
0.000 1.522 11.141
0.000 0.000 17.981
1.318 0.761 15.805
```